PBE AcMgZnHg2, relaxed; energy of formation from the pure elements = -0.3355 eV per atom; total moment = 0.00 Bohr magnetons per cell; calculated total energy = -1.85 eV per atom; crystal system = tetragonal
1.0
4.478 0.000 0.000
0.000 4.478 0.000
-2.239 -2.239 6.405
Ac Mg Zn Hg
1 1 1 2
Direct
0.000 0.000 0.000
0.750 0.250 0.500
0.250 0.750 0.500
0.616 0.616 0.233
0.384 0.384 0.767

***

PBE AcMg2Zn2Hg2, relaxed; energy of formation from the pure elements = -0.2427 eV per atom; total moment = 0.00 Bohr magnetons per cell; calculated total energy = -1.74 eV per atom; crystal system = trigonal
1.0
-4.253 0.006 -1.950
-3.715 -1.380 2.486
-3.887 7.736 2.889
Ac Mg Zn Hg
1 2 2 2
Direct
0.000 0.000 0.000
0.138 0.138 0.586
0.862 0.862 0.414
0.747 0.747 0.758
0.253 0.253 0.242
0.576 0.576 0.273
0.424 0.424 0.727

***

PBE Ac2Mg4Zn3Hg, relaxed; energy of formation from the pure elements = -0.2011 eV per atom; total moment = 0.00 Bohr magnetons per cell; calculated total energy = -2.07 eV per atom; crystal system = tetragonal
1.0
-2.502 -1.033 4.037
-3.739 -1.524 -2.707
4.031 -9.851 -0.023
Ac Mg Zn Hg
2 4 3 1
Direct
0.500 0.000 0.260
0.000 0.500 0.740
0.500 0.500 0.000
0.000 0.000 0.000
0.500 0.000 0.630
0.000 0.500 0.370
0.000 0.000 0.500
0.500 0.000 0.876
0.000 0.500 0.124
0.500 0.500 0.500

***

PBE Ac2MgZn4Hg3, relaxed; energy of formation from the pure elements = -0.2897 eV per atom; total moment = 0.00 Bohr magnetons per cell; calculated total energy = -1.87 eV per atom; crystal system = tetragonal
1.0
4.635 0.000 0.000
0.000 4.635 0.000
0.000 0.000 11.185
Ac Mg Zn Hg
2 1 4 3
Direct
0.500 0.000 0.240
0.000 0.500 0.760
0.500 0.500 0.500
0.500 0.500 0.000
0.000 0.000 0.000
0.500 0.000 0.636
0.000 0.500 0.364
0.000 0.000 0.500
0.500 0.000 0.872
0.000 0.500 0.128

***

| no. | DOS(E_F) (states/eV/cell) |
| --- | --- |
| 1 | 2.6 |
| 2 | 4.7 |
| 3 | 9.1 |
| 4 | 7.3 |